Entry from Alexandria: a relaxed MgTl2Fe crystal (PBE).

Properties
ΔE_f, eV per atom: 0.582
Space group: Fm-3m (225)
D(E_F), states/eV per cell: 5.46
Polymorph energy (0 for the lowest one), eV per atom: 0.2555

Geometry as POSCAR:
```
MgTl2Fe
1.0
0.000 3.394 3.394
3.394 0.000 3.394
3.394 3.394 0.000
Mg Tl Fe
1 2 1
direct
0.000 0.000 0.000 Mg
0.250 0.250 0.250 Tl
0.750 0.750 0.750 Tl
0.500 0.500 0.500 Fe
```

Entry from Alexandria: a relaxed BeCdMo3 crystal (PBE).

Properties
ΔE_f, eV per atom: 2.872
Space group: Pm-3m (221)
D(E_F), states/eV per cell: 12.12
Polymorph energy (0 for the lowest one), eV per atom: 2.1121

Geometry as POSCAR:
```
BeCdMo3
1.0
4.842 0.000 0.000
0.000 4.842 0.000
0.000 0.000 4.842
Be Cd Mo
1 1 3
direct
0.000 0.000 0.000 Be
0.500 0.500 0.500 Cd
0.000 0.500 0.500 Mo
0.500 0.000 0.500 Mo
0.500 0.500 0.000 Mo
```

Entry from Alexandria: a relaxed LaPmErTe3 crystal (PBE).

Properties
Energy relative to the elements, uncorrected, eV/atom: -1.293
Space group: P2_1/m (11)
D(E_F), states/eV per cell: 9.14

Geometry as POSCAR:
```
LaPmErTe3
1.0
8.650 0.000 0.000
0.000 4.393 0.000
-2.849 0.000 10.445
La Pm Er Te
2 2 2 6
direct
0.192 0.250 0.218 La
0.808 0.750 0.782 La
0.336 0.750 0.910 Pm
0.664 0.250 0.090 Pm
0.154 0.250 0.622 Er
0.846 0.750 0.378 Er
0.081 0.250 0.888 Te
0.218 0.750 0.454 Te
0.487 0.750 0.213 Te
0.513 0.250 0.787 Te
0.782 0.250 0.546 Te
0.919 0.750 0.112 Te
```

Entry from Alexandria: a relaxed ErPaFeCu crystal (PBE).

Properties
ΔE_f, eV per atom: 0.029
Space group: F-43m (216)
D(E_F), states/eV per cell: 3.62

Geometry as POSCAR:
```
ErPaFeCu
1.0
0.000 3.366 3.366
3.366 0.000 3.366
3.366 3.366 0.000
Er Pa Fe Cu
1 1 1 1
direct
0.000 0.000 0.000 Er
0.500 0.500 0.500 Pa
0.750 0.750 0.750 Fe
0.250 0.250 0.250 Cu
```

Entry from Alexandria: a relaxed Sc5Al3 crystal (PBE).

Properties
ΔE_f, eV per atom: -0.318
Space group: Cmmm (65)
D(E_F), states/eV per cell: 9.71
Polymorph energy (0 for the lowest one), eV per atom: 0.0257

Geometry as POSCAR:
```
Sc5Al3
1.0
3.522 -4.885 0.000
3.522 4.885 0.000
0.000 0.000 4.825
Sc Al
5 3
direct
0.000 0.000 0.000 Sc
0.000 0.500 0.000 Sc
0.273 0.273 0.500 Sc
0.500 0.000 0.000 Sc
0.727 0.727 0.500 Sc
0.227 0.773 0.500 Al
0.500 0.500 0.000 Al
0.773 0.227 0.500 Al
```

Entry from Alexandria: a relaxed Ti6NbMo2 crystal (PBE).

Properties
ΔE_f, eV per atom: 0.138
Space group: R-3m (166)
D(E_F), states/eV per cell: 13.69
Polymorph energy (0 for the lowest one), eV per atom: 0.1527

Geometry as POSCAR:
```
Ti6NbMo2
1.0
2.291 1.323 8.745
-2.291 1.323 8.745
0.000 -2.646 8.745
Ti Nb Mo
6 1 2
direct
0.085 0.085 0.085 Ti
0.201 0.201 0.201 Ti
0.306 0.306 0.306 Ti
0.694 0.694 0.694 Ti
0.799 0.799 0.799 Ti
0.915 0.915 0.915 Ti
0.500 0.500 0.500 Nb
0.402 0.402 0.402 Mo
0.598 0.598 0.598 Mo
```

Entry from Alexandria: a relaxed Hg3O crystal (PBE).

Properties
Energy relative to the elements, uncorrected, eV/atom: 0.032
Space group: Imm2 (44)
D(E_F), states/eV per cell: 1.22

Geometry as POSCAR:
```
Hg3O
1.0
-1.687 4.055 3.211
1.687 -4.055 3.211
1.687 4.055 -3.211
Hg O
3 1
direct
0.000 0.000 0.000 Hg
0.293 0.499 0.794 Hg
0.705 0.499 0.206 Hg
0.498 0.998 0.500 O
```

Entry from Alexandria: a relaxed Zr2NpZn crystal (PBE).

Properties
ΔE_f, eV per atom: 0.292
Space group: Fm-3m (225)
D(E_F), states/eV per cell: 13.12
Polymorph energy (0 for the lowest one), eV per atom: 0.2123

Geometry as POSCAR:
```
Zr2NpZn
1.0
0.000 3.478 3.478
3.478 0.000 3.478
3.478 3.478 0.000
Zr Np Zn
2 1 1
direct
0.250 0.250 0.250 Zr
0.750 0.750 0.750 Zr
0.000 0.000 0.000 Np
0.500 0.500 0.500 Zn
```

Entry from Alexandria: a relaxed Ac4YSn5 crystal (PBE).

Properties
ΔE_f, eV per atom: -0.611
Space group: P4/mmm (123)
D(E_F), states/eV per cell: 7.89

Geometry as POSCAR:
```
Ac4YSn5
1.0
3.789 0.000 0.000
0.000 3.789 0.000
0.000 0.000 22.590
Ac Y Sn
4 1 5
direct
0.000 0.000 0.103 Ac
0.000 0.000 0.309 Ac
0.000 0.000 0.691 Ac
0.000 0.000 0.897 Ac
0.000 0.000 0.500 Y
0.500 0.500 0.000 Sn
0.500 0.500 0.206 Sn
0.500 0.500 0.412 Sn
0.500 0.500 0.588 Sn
0.500 0.500 0.794 Sn
```

Entry from Alexandria: a relaxed Zr3BiH crystal (PBE).

Properties
Space group: Pnma (62)
D(E_F), states/eV per cell: 25.84
Polymorph energy (0 for the lowest one), eV per atom: 0.2879

Geometry as POSCAR:
```
Zr3BiH
1.0
5.731 0.000 0.000
0.000 9.218 0.000
0.000 0.000 7.736
Zr Bi H
12 4 4
direct
0.004 0.102 0.132 Zr
0.004 0.398 0.132 Zr
0.240 0.750 0.237 Zr
0.260 0.250 0.737 Zr
0.496 0.602 0.632 Zr
0.496 0.898 0.632 Zr
0.504 0.102 0.368 Zr
0.504 0.398 0.368 Zr
0.740 0.750 0.263 Zr
0.760 0.250 0.763 Zr
0.996 0.602 0.868 Zr
0.996 0.898 0.868 Zr
0.000 0.000 0.500 Bi
0.000 0.500 0.500 Bi
0.500 0.000 0.000 Bi
0.500 0.500 0.000 Bi
0.026 0.250 0.942 H
0.474 0.750 0.442 H
0.526 0.250 0.558 H
0.974 0.750 0.058 H
```

Entry from Alexandria: a relaxed Ge2PPb crystal (PBE).

Properties
ΔE_f, eV per atom: 0.243
Space group: I-42d (122)
D(E_F), states/eV per cell: 3.75
Polymorph energy (0 for the lowest one), eV per atom: 0.0282

Geometry as POSCAR:
```
Ge2PPb
1.0
-3.245 3.245 5.099
3.245 -3.245 5.099
3.245 3.245 -5.099
Ge P Pb
4 2 2
direct
0.070 0.625 0.945 Ge
0.375 0.320 0.445 Ge
0.680 0.125 0.055 Ge
0.875 0.930 0.555 Ge
0.000 0.000 0.000 P
0.750 0.250 0.500 P
0.250 0.750 0.500 Pb
0.500 0.500 0.000 Pb
```

Entry from Alexandria: a relaxed LaInN3 crystal (PBE).

Properties
Energy relative to the elements, uncorrected, eV/atom: 0.513
Space group: Pm-3m (221)
D(E_F), states/eV per cell: 4.42

Geometry as POSCAR:
```
LaInN3
1.0
4.175 0.000 0.000
0.000 4.175 0.000
0.000 0.000 4.175
La In N
1 1 3
direct
0.000 0.000 0.000 La
0.500 0.500 0.500 In
0.000 0.500 0.500 N
0.500 0.000 0.500 N
0.500 0.500 0.000 N
```

Entry from Alexandria: a relaxed Be4CrSb crystal (PBE).

Properties
Energy relative to the elements, uncorrected, eV/atom: 0.217
Space group: F-43m (216)
D(E_F), states/eV per cell: 4.72

Geometry as POSCAR:
```
Be4CrSb
1.0
0.000 3.178 3.178
3.178 0.000 3.178
3.178 3.178 0.000
Be Cr Sb
4 1 1
direct
0.121 0.121 0.121 Be
0.121 0.121 0.638 Be
0.121 0.638 0.121 Be
0.638 0.121 0.121 Be
0.750 0.750 0.750 Cr
0.500 0.500 0.500 Sb
```

Entry from Alexandria: a relaxed ZnCoTc3 crystal (PBE).

Properties
ΔE_f, eV per atom: 1.320
Space group: Pm-3m (221)
D(E_F), states/eV per cell: 5.43
Polymorph energy (0 for the lowest one), eV per atom: 0.0000

Geometry as POSCAR:
```
ZnCoTc3
1.0
4.398 0.000 0.000
0.000 4.398 0.000
0.000 0.000 4.398
Zn Co Tc
1 1 3
direct
0.000 0.000 0.000 Zn
0.500 0.500 0.500 Co
0.000 0.500 0.500 Tc
0.500 0.000 0.500 Tc
0.500 0.500 0.000 Tc
```

Entry from Alexandria: a relaxed Er2MgPaS6 crystal (PBE).

Properties
Energy relative to the elements, uncorrected, eV/atom: -1.381
Space group: P4mm (99)
D(E_F), states/eV per cell: 5.41

Geometry as POSCAR:
```
Er2MgPaS6
1.0
6.433 0.000 0.000
0.000 6.433 0.000
0.000 0.000 6.402
Er Mg Pa S
2 1 1 6
direct
0.000 0.500 0.000 Er
0.500 0.000 0.000 Er
0.000 0.000 0.574 Mg
0.500 0.500 0.591 Pa
0.000 0.000 0.204 S
0.242 0.242 0.771 S
0.242 0.758 0.771 S
0.500 0.500 0.183 S
0.758 0.242 0.771 S
0.758 0.758 0.771 S
```

Entry from Alexandria: a relaxed Pa2TlPb crystal (PBE).

Properties
ΔE_f, eV per atom: 0.468
Space group: R-3m (166)
D(E_F), states/eV per cell: 5.81
Polymorph energy (0 for the lowest one), eV per atom: 0.2897

Geometry as POSCAR:
```
Pa2TlPb
1.0
2.220 1.282 7.201
-2.220 1.282 7.201
0.000 -2.563 7.201
Pa Tl Pb
2 1 1
direct
0.248 0.248 0.248 Pa
0.752 0.752 0.752 Pa
0.500 0.500 0.500 Tl
0.000 0.000 0.000 Pb
```

Entry from Alexandria: a relaxed Rb2H2Pd crystal (PBE).

Properties
Space group: Pbam (55)
DFT total energy, eV for the cell shown: -29.771

Geometry as POSCAR:
```
Rb2H2Pd
1.0
7.979 0.000 0.000
0.000 8.194 0.000
0.000 0.000 4.180
Rb H Pd
4 4 2
direct
0.229 0.232 0.000 Rb
0.271 0.732 0.000 Rb
0.729 0.268 0.000 Rb
0.771 0.768 0.000 Rb
0.213 0.485 0.500 H
0.287 0.985 0.500 H
0.713 0.015 0.500 H
0.787 0.515 0.500 H
0.000 0.500 0.500 Pd
0.500 0.000 0.500 Pd
```

Entry from Alexandria: a relaxed ZrTi3Pd12 crystal (PBE).

Properties
ΔE_f, eV per atom: -0.668
Space group: P4/mmm (123)
D(E_F), states/eV per cell: 6.32

Geometry as POSCAR:
```
ZrTi3Pd12
1.0
3.956 0.000 0.000
0.000 3.956 0.000
0.000 0.000 15.813
Zr Ti Pd
1 3 12
direct
0.000 0.000 0.000 Zr
0.000 0.000 0.254 Ti
0.000 0.000 0.500 Ti
0.000 0.000 0.746 Ti
0.000 0.500 0.130 Pd
0.000 0.500 0.377 Pd
0.000 0.500 0.623 Pd
0.000 0.500 0.870 Pd
0.500 0.000 0.130 Pd
0.500 0.000 0.377 Pd
0.500 0.000 0.623 Pd
0.500 0.000 0.870 Pd
0.500 0.500 0.000 Pd
0.500 0.500 0.253 Pd
0.500 0.500 0.500 Pd
0.500 0.500 0.747 Pd
```

Entry from Alexandria: a relaxed BeRuSe2 crystal (PBE).

Properties
Energy relative to the elements, uncorrected, eV/atom: 0.087
Space group: C2/m (12)
D(E_F), states/eV per cell: 3.41

Geometry as POSCAR:
```
BeRuSe2
1.0
2.965 -1.780 0.000
2.965 1.780 0.000
-2.025 0.000 6.073
Be Ru Se
1 1 2
direct
0.000 0.000 0.000 Be
0.500 0.500 0.500 Ru
0.249 0.249 0.765 Se
0.751 0.751 0.235 Se
```

Entry from Alexandria: a relaxed BHS2 crystal (PBE).

Properties
Space group: R-3m (166)
D(E_F), states/eV per cell: 0.00
Polymorph energy (0 for the lowest one), eV per atom: 0.6125

Geometry as POSCAR:
```
BHS2
1.0
1.587 0.916 5.590
-1.587 0.916 5.590
0.000 -1.832 5.590
B H S
1 1 2
direct
0.000 0.000 0.000 B
0.500 0.500 0.500 H
0.401 0.401 0.401 S
0.599 0.599 0.599 S
```

Entry from Alexandria: a relaxed Ac2SiPbO6 crystal (PBE).

Properties
Energy relative to the elements, uncorrected, eV/atom: -2.586
Space group: P4mm (99)
D(E_F), states/eV per cell: 0.00

Geometry as POSCAR:
```
Ac2SiPbO6
1.0
5.648 0.000 0.000
0.000 5.648 0.000
0.000 0.000 5.090
Ac Si Pb O
2 1 1 6
direct
0.000 0.500 0.000 Ac
0.500 0.000 0.000 Ac
0.000 0.000 0.599 Si
0.500 0.500 0.550 Pb
0.000 0.000 0.270 O
0.212 0.212 0.709 O
0.212 0.788 0.709 O
0.500 0.500 0.044 O
0.788 0.212 0.709 O
0.788 0.788 0.709 O
```

Entry from Alexandria: a relaxed Tb2Er3Zr2 crystal (PBE).

Properties
ΔE_f, eV per atom: 0.045
Space group: Cmmm (65)
D(E_F), states/eV per cell: 9.79

Geometry as POSCAR:
```
Tb2Er3Zr2
1.0
2.582 -11.501 0.000
2.582 11.501 0.000
0.000 0.000 3.392
Tb Er Zr
2 3 2
direct
0.077 0.923 0.000 Tb
0.923 0.077 0.000 Tb
0.343 0.657 0.500 Er
0.500 0.500 0.500 Er
0.657 0.343 0.500 Er
0.221 0.779 0.000 Zr
0.779 0.221 0.000 Zr
```

Entry from Alexandria: a relaxed Be2CrTc2 crystal (PBE).

Properties
ΔE_f, eV per atom: -0.206
Space group: P4/mbm (127)
D(E_F), states/eV per cell: 9.47

Geometry as POSCAR:
```
Be2CrTc2
1.0
6.007 0.000 0.000
0.000 6.007 0.000
0.000 0.000 3.064
Be Cr Tc
4 2 4
direct
0.121 0.379 0.000 Be
0.379 0.879 0.000 Be
0.621 0.121 0.000 Be
0.879 0.621 0.000 Be
0.000 0.000 0.000 Cr
0.500 0.500 0.000 Cr
0.176 0.676 0.500 Tc
0.324 0.176 0.500 Tc
0.676 0.824 0.500 Tc
0.824 0.324 0.500 Tc
```

Entry from Alexandria: a relaxed TlPd2Pt crystal (PBE).

Properties
ΔE_f, eV per atom: -0.135
Space group: P4/mmm (123)
D(E_F), states/eV per cell: 4.65
Polymorph energy (0 for the lowest one), eV per atom: 0.0000

Geometry as POSCAR:
```
TlPd2Pt
1.0
4.136 0.000 0.000
0.000 4.136 0.000
0.000 0.000 3.992
Tl Pd Pt
1 2 1
direct
0.000 0.000 0.000 Tl
0.000 0.500 0.500 Pd
0.500 0.000 0.500 Pd
0.500 0.500 0.000 Pt
```

Entry from Alexandria: a relaxed V2TeC crystal (PBE).

Properties
Energy relative to the elements, uncorrected, eV/atom: -0.317
Space group: R-3m (166)
D(E_F), states/eV per cell: 2.10

Geometry as POSCAR:
```
V2TeC
1.0
1.611 0.930 6.183
-1.611 0.930 6.183
0.000 -1.860 6.183
V Te C
2 1 1
direct
0.217 0.217 0.217 V
0.783 0.783 0.783 V
0.000 0.000 0.000 Te
0.500 0.500 0.500 C
```

In the order shown, the computed magnetization values come out to 0.00; 0.00; 0.00; 0.00; 0.74; 0.00; 0.00; 4.74; 0.00; 0.00; 0.00; 0.00; 0.00; 0.65; 1.00; 0.49; 0.00; 0.21; 0.65; 0.00; 0.00; 0.00; 0.00; 0.00; 0.00 μB per formula unit.